# 1
A plane-wave DFT calculation with PBE was carried out for a geometry-optimized TiVCo3 structure.

a = 5.419 Å, b = 5.419 Å, c = 5.248 Å
α = 90.00°, β = 90.00°, γ = 120.00°
Element x y z (fractional)
Ti: 0.333 0.667 0.250
Ti: 0.667 0.333 0.750
V: 0.000 0.000 0.000
V: 0.000 0.000 0.500
Co: 0.193 0.387 0.750
Co: 0.193 0.807 0.750
Co: 0.387 0.193 0.250
Co: 0.613 0.807 0.750
Co: 0.807 0.193 0.250
Co: 0.807 0.613 0.250

Properties
total moment = 0.0 μB per cell
D(E_F) = 1.0411 states/eV per atom
energy of formation = 0.2201 eV per atom
excess energy over the best structure of this formula in the dataset = 0 meV/atom
total energy = -7.45 eV per atom
symmetry = P6_3/mmc

# 2
A plane-wave DFT calculation with PBE was carried out for a geometry-optimized TiVCo3 structure.

a = 4.169 Å, b = 4.169 Å, c = 4.169 Å
α = 90.00°, β = 90.00°, γ = 90.00°
Element x y z (fractional)
Ti: 0.000 0.000 0.000
V: 0.500 0.500 0.500
Co: 0.000 0.500 0.500
Co: 0.500 0.000 0.500
Co: 0.500 0.500 0.000

Properties
total moment = 0.6 μB per cell
D(E_F) = 1.5856 states/eV per atom
energy of formation = 0.7536 eV per atom
excess energy over the best structure of this formula in the dataset = 534 meV/atom
total energy = -6.91 eV per atom
symmetry = Pm-3m

# 3
A plane-wave DFT calculation with PBE was carried out for a geometry-optimized TiVCo2 structure.

a = 4.156 Å, b = 4.156 Å, c = 4.156 Å
α = 60.00°, β = 60.00°, γ = 60.00°
Element x y z (fractional)
Ti: 0.000 0.000 0.000
V: 0.500 0.500 0.500
Co: 0.250 0.250 0.250
Co: 0.750 0.750 0.750

Properties
total moment = 2.7 μB per cell
D(E_F) = 1.1614 states/eV per atom
energy of formation = -0.2148 eV per atom
excess energy over the best structure of this formula in the dataset = 2 meV/atom
total energy = -8.02 eV per atom
symmetry = Fm-3m

# 4
A plane-wave DFT calculation with PBE was carried out for a geometry-optimized TiV2Co9 structure.

a = 3.557 Å, b = 3.557 Å, c = 10.662 Å
α = 90.00°, β = 90.00°, γ = 90.00°
Element x y z (fractional)
Ti: 0.000 0.000 0.000
V: 0.000 0.000 0.334
V: 0.000 0.000 0.666
Co: 0.000 0.500 0.173
Co: 0.000 0.500 0.500
Co: 0.000 0.500 0.827
Co: 0.500 0.000 0.173
Co: 0.500 0.000 0.500
Co: 0.500 0.000 0.827
Co: 0.500 0.500 0.000
Co: 0.500 0.500 0.336
Co: 0.500 0.500 0.664

Properties
total moment = 6.0 μB per cell
D(E_F) = 1.2383 states/eV per atom
energy of formation = -0.1988 eV per atom
total energy = -7.71 eV per atom
symmetry = P4/mmm

# 5
A plane-wave DFT calculation with PBE was carried out for a geometry-optimized Ti3V2Co4 structure.

a = 4.563 Å, b = 4.563 Å, c = 7.598 Å
α = 94.35°, β = 94.35°, γ = 50.97°
Element x y z (fractional)
Ti: 0.000 0.000 0.000
Ti: 0.364 0.364 0.602
Ti: 0.636 0.636 0.398
V: 0.331 0.331 0.214
V: 0.669 0.669 0.786
Co: 0.076 0.076 0.637
Co: 0.304 0.304 0.908
Co: 0.696 0.696 0.092
Co: 0.924 0.924 0.363

Properties
total moment = 0.0 μB per cell
D(E_F) = 1.1388 states/eV per atom
energy of formation = -0.1300 eV per atom
total energy = -7.95 eV per atom
symmetry = C2/m

# 6
A plane-wave DFT calculation with PBE was carried out for a geometry-optimized Ti2VCo structure.

a = 5.434 Å, b = 5.434 Å, c = 5.434 Å
α = 103.46°, β = 103.46°, γ = 122.30°
Element x y z (fractional)
Ti: 0.093 0.625 0.968
Ti: 0.375 0.343 0.468
Ti: 0.657 0.125 0.032
Ti: 0.875 0.907 0.532
V: 0.250 0.750 0.500
V: 0.500 0.500 0.000
Co: 0.000 0.000 0.000
Co: 0.750 0.250 0.500

Properties
total moment = 0.0 μB per cell
D(E_F) = 1.2855 states/eV per atom
energy of formation = 0.2160 eV per atom
excess energy over the best structure of this formula in the dataset = 410 meV/atom
total energy = -7.79 eV per atom
symmetry = I-42d

# 7
A plane-wave DFT calculation with PBE was carried out for a geometry-optimized Ti2VCo structure.

a = 4.299 Å, b = 4.299 Å, c = 4.299 Å
α = 60.00°, β = 60.00°, γ = 60.00°
Element x y z (fractional)
Ti: 0.250 0.250 0.250
Ti: 0.750 0.750 0.750
V: 0.000 0.000 0.000
Co: 0.500 0.500 0.500

Properties
total moment = 1.7 μB per cell
D(E_F) = 1.1781 states/eV per atom
energy of formation = -0.1372 eV per atom
excess energy over the best structure of this formula in the dataset = 57 meV/atom
total energy = -8.14 eV per atom
symmetry = Fm-3m

# 8
A plane-wave DFT calculation with PBE was carried out for a geometry-optimized Ti2V2Co structure.

a = 6.029 Å, b = 6.029 Å, c = 4.069 Å
α = 90.00°, β = 90.00°, γ = 90.00°
Element x y z (fractional)
Ti: 0.167 0.333 0.000
Ti: 0.333 0.833 0.000
Ti: 0.667 0.167 0.000
Ti: 0.833 0.667 0.000
V: 0.146 0.646 0.500
V: 0.354 0.146 0.500
V: 0.646 0.854 0.500
V: 0.854 0.354 0.500
Co: 0.000 0.000 0.500
Co: 0.500 0.500 0.500

Properties
total moment = 0.0 μB per cell
D(E_F) = 1.2966 states/eV per atom
energy of formation = 0.1034 eV per atom
excess energy over the best structure of this formula in the dataset = 281 meV/atom
total energy = -8.12 eV per atom
symmetry = P4/mbm

# 9
A plane-wave DFT calculation with PBE was carried out for a geometry-optimized Ti2VCo2 structure.

a = 6.852 Å, b = 6.852 Å, c = 2.893 Å
α = 90.00°, β = 90.00°, γ = 90.00°
Element x y z (fractional)
Ti: 0.166 0.334 0.000
Ti: 0.334 0.834 0.000
Ti: 0.666 0.166 0.000
Ti: 0.834 0.666 0.000
V: 0.000 0.000 0.500
V: 0.500 0.500 0.500
Co: 0.132 0.632 0.500
Co: 0.368 0.132 0.500
Co: 0.632 0.868 0.500
Co: 0.868 0.368 0.500

Properties
total moment = 0.0 μB per cell
D(E_F) = 1.4491 states/eV per atom
energy of formation = -0.1315 eV per atom
excess energy over the best structure of this formula in the dataset = 0 meV/atom
total energy = -7.96 eV per atom
symmetry = P4/mbm

# 10
A plane-wave DFT calculation with PBE was carried out for a geometry-optimized Ti4VCo2 structure.

a = 7.550 Å, b = 7.550 Å, c = 7.550 Å
α = 32.66°, β = 32.66°, γ = 32.66°
Element x y z (fractional)
Ti: 0.120 0.120 0.120
Ti: 0.292 0.292 0.292
Ti: 0.708 0.708 0.708
Ti: 0.880 0.880 0.880
V: 0.500 0.500 0.500
Co: 0.398 0.398 0.398
Co: 0.602 0.602 0.602

Properties
total moment = 0.0 μB per cell
D(E_F) = 1.0304 states/eV per atom
energy of formation = 0.1295 eV per atom
total energy = -7.71 eV per atom
symmetry = R-3m

# 11
A plane-wave DFT calculation with PBE was carried out for a geometry-optimized TiVCo6 structure.

a = 4.319 Å, b = 4.319 Å, c = 6.421 Å
α = 104.66°, β = 104.66°, γ = 65.54°
Element x y z (fractional)
Ti: 0.000 0.000 0.000
V: 0.500 0.500 0.500
Co: 0.037 0.557 0.204
Co: 0.138 0.138 0.436
Co: 0.443 0.963 0.796
Co: 0.557 0.037 0.204
Co: 0.862 0.862 0.564
Co: 0.963 0.443 0.796

Properties
total moment = 5.7 μB per cell
D(E_F) = 1.3520 states/eV per atom
energy of formation = 0.2270 eV per atom
excess energy over the best structure of this formula in the dataset = 439 meV/atom
total energy = -7.23 eV per atom
symmetry = C2/m

# 12
A plane-wave DFT calculation with PBE was carried out for a geometry-optimized TiVCo2 structure.

a = 2.758 Å, b = 2.758 Å, c = 6.568 Å
α = 90.00°, β = 90.00°, γ = 90.00°
Element x y z (fractional)
Ti: 0.000 0.000 0.000
V: 0.000 0.000 0.500
Co: 0.500 0.500 0.274
Co: 0.500 0.500 0.726

Properties
total moment = 0.5 μB per cell
D(E_F) = 1.2423 states/eV per atom
energy of formation = -0.2148 eV per atom
excess energy over the best structure of this formula in the dataset = 2 meV/atom
total energy = -8.02 eV per atom
symmetry = P4/mmm